Below is a PBEsol-optimized structure of ZnTe2Pb, with properties calculated at the SCAN level.

Lattice parameters (Å, degrees): 4.2285 4.2285 7.5142 73.66 73.66 60.00
Last column: nearest neighbours and their distance in Å.
Atoms (fractional coordinates):
Te (0.7628, 0.7628, 0.7116)  3 Zn 2.87, 3 Pb 3.19
Te (0.2372, 0.2372, 0.2884)  3 Zn 2.87, 3 Pb 3.19
Pb (0.0000, 0.0000, 0.0000)  6 Te 3.19
Zn (0.5000, 0.5000, 0.5000)  6 Te 2.87

Calculated values
Energy relative to the lowest polymorph listed for this composition in meV/atom: 0
Magnetic moment in μB/f.u.: 0.000
E_form (uncorrected) in eV per atom: -0.237